DFT (PBE+U) results for crystalline NiTeO2 at its relaxed geometry.

a b c (Å): 3.960 5.356 6.475
angles (deg): 81.43 75.89 79.10
Positions (direct):
Ni 0.000 0.000 0.000
Ni 0.082 0.242 0.445
Te 0.340 0.461 0.864
Te 0.702 0.888 0.386
O 0.056 0.279 0.136
O 0.155 0.222 0.742
O 0.623 0.528 0.511
O 0.972 0.739 0.843

Values from the calculation:
- Mass density: 5.575 g cm⁻³
- Final energy: -4.50 eV per atom
- Magnetic moment: 1.00 μB/f.u.